[1]
PBE-GGA Ca2AcPd, relaxed; size of the total moment = 0.00 Bohr magnetons per cell; mass density = 5.14 Mg/m³; E above lowest polymorph = 3 meV per atom; ΔE_f = -0.415 eV per atom; calculated total energy = -3.74 eV per atom
1.0
7.786 0.000 0.000
0.000 10.332 0.000
0.000 0.000 6.647
Ca Ac Pd
8 4 4
Direct
0.176 0.067 0.161
0.176 0.433 0.161
0.324 0.567 0.661
0.324 0.933 0.661
0.676 0.067 0.339
0.676 0.433 0.339
0.824 0.567 0.839
0.824 0.933 0.839
0.041 0.250 0.643
0.459 0.750 0.143
0.541 0.250 0.857
0.959 0.750 0.357
0.117 0.750 0.935
0.383 0.250 0.435
0.617 0.750 0.565
0.883 0.250 0.065

=====

[2]
PBE-GGA Ca2AcPd, relaxed; size of the total moment = 0.00 Bohr magnetons per cell; mass density = 5.34 Mg/m³; E above lowest polymorph = 110 meV per atom; ΔE_f = -0.308 eV per atom; calculated total energy = -3.63 eV per atom
1.0
3.692 0.000 0.000
0.000 3.692 0.000
0.000 0.000 9.429
Ca Ac Pd
2 1 1
Direct
0.000 0.000 0.177
0.000 0.000 0.823
0.500 0.500 0.500
0.500 0.500 0.000

=====

[3]
PBE-GGA CaAcPd2, relaxed; size of the total moment = 0.00 Bohr magnetons per cell; mass density = 7.16 Mg/m³; E above lowest polymorph = 131 meV per atom; ΔE_f = -0.646 eV per atom; calculated total energy = -4.77 eV per atom
1.0
4.335 0.000 0.000
-2.167 3.754 0.000
0.000 0.000 20.514
Ca Ac Pd
3 3 6
Direct
0.000 0.000 0.000
0.333 0.667 0.667
0.667 0.333 0.333
0.000 0.000 0.500
0.333 0.667 0.167
0.667 0.333 0.833
0.000 0.000 0.253
0.000 0.000 0.747
0.333 0.667 0.413
0.333 0.667 0.920
0.667 0.333 0.080
0.667 0.333 0.587